The following is a DFT calculation (PBE) of crystalline Ta6MoW2 at its relaxed geometry.

abc: 5.391 5.391 9.834
angles: 106.63 106.63 35.08
Fractional coordinates of all 9 atoms:
1 Ta 0.008 0.008 0.332
2 Ta 0.331 0.331 0.438
3 Ta 0.336 0.336 0.111
4 Ta 0.664 0.664 0.889
5 Ta 0.669 0.669 0.562
6 Ta 0.992 0.992 0.668
7 Mo 0.000 0.000 0.000
8 W 0.333 0.333 0.783
9 W 0.667 0.667 0.217

Properties
Calculated density: 16.417 g cm⁻³
Excess energy over the best structure of this formula in the dataset: 0.000 eV/atom



The following is a DFT calculation (PBE) of crystalline Ta5MoW4 at its relaxed geometry.

abc: 3.241 3.241 16.196
angles: 90.00 90.00 90.00
Fractional coordinates of all 10 atoms:
1 Ta 0.000 0.000 0.000
2 Ta 0.000 0.000 0.200
3 Ta 0.000 0.000 0.401
4 Ta 0.000 0.000 0.599
5 Ta 0.000 0.000 0.800
6 Mo 0.500 0.500 0.500
7 W 0.500 0.500 0.100
8 W 0.500 0.500 0.300
9 W 0.500 0.500 0.700
10 W 0.500 0.500 0.900

Properties
Raw total energy: -123.12 eV for the cell shown
Calculated density: 16.949 g cm⁻³



The following is a DFT calculation (PBE) of crystalline Ta3Mo2W2 at its relaxed geometry.

abc: 9.768 9.768 2.669
angles: 90.00 90.00 151.68
Fractional coordinates of all 7 atoms:
1 Ta 0.000 0.000 0.000
2 Ta 0.147 0.853 0.000
3 Ta 0.853 0.147 0.000
4 Mo 0.289 0.711 0.500
5 Mo 0.711 0.289 0.500
6 W 0.430 0.570 0.500
7 W 0.570 0.430 0.500

Properties
Calculated density: 15.152 g cm⁻³
Excess energy over the best structure of this formula in the dataset: 0.356 eV/atom



The following is a DFT calculation (PBE) of crystalline Ta2MoW3 at its relaxed geometry.

abc: 6.393 6.393 5.204
angles: 90.00 90.00 100.13
Fractional coordinates of all 12 atoms:
1 Ta 0.067 0.604 0.750
2 Ta 0.396 0.933 0.750
3 Ta 0.604 0.067 0.250
4 Ta 0.933 0.396 0.250
5 Mo 0.314 0.686 0.250
6 Mo 0.686 0.314 0.750
7 W 0.052 0.948 0.250
8 W 0.315 0.315 0.000
9 W 0.315 0.315 0.500
10 W 0.685 0.685 0.000
11 W 0.685 0.685 0.500
12 W 0.948 0.052 0.750

Properties
Calculated density: 16.008 g cm⁻³
Excess energy over the best structure of this formula in the dataset: 0.454 eV/atom



The following is a DFT calculation (PBE) of crystalline Ta3MoW4 at its relaxed geometry.

abc: 3.222 3.222 12.917
angles: 90.00 90.00 90.00
Fractional coordinates of all 8 atoms:
1 Ta 0.000 0.000 0.000
2 Ta 0.000 0.000 0.252
3 Ta 0.000 0.000 0.748
4 Mo 0.000 0.000 0.500
5 W 0.500 0.500 0.127
6 W 0.500 0.500 0.379
7 W 0.500 0.500 0.621
8 W 0.500 0.500 0.873

Properties
Calculated density: 17.012 g cm⁻³
Excess energy over the best structure of this formula in the dataset: 0.000 eV/atom



The following is a DFT calculation (PBE) of crystalline TaMo2W at its relaxed geometry.

abc: 5.312 5.312 5.312
angles: 144.91 129.65 62.85
Fractional coordinates of all 4 atoms:
1 Ta 0.000 0.000 0.000
2 Mo 0.501 0.501 0.000
3 Mo 0.748 0.248 0.500
4 W 0.255 0.755 0.500

Properties
Calculated density: 14.088 g cm⁻³
Excess energy over the best structure of this formula in the dataset: 0.014 eV/atom



The following is a DFT calculation (PBE) of crystalline Ta2Mo3W3 at its relaxed geometry.

abc: 5.516 5.516 19.207
angles: 90.00 90.00 152.44
Fractional coordinates of all 16 atoms:
1 Ta 0.237 0.763 0.626
2 Ta 0.237 0.763 0.874
3 Ta 0.763 0.237 0.126
4 Ta 0.763 0.237 0.374
5 Mo 0.018 0.982 0.124
6 Mo 0.018 0.982 0.376
7 Mo 0.369 0.631 0.250
8 Mo 0.631 0.369 0.750
9 Mo 0.982 0.018 0.624
10 Mo 0.982 0.018 0.876
11 W 0.374 0.626 0.003
12 W 0.374 0.626 0.497
13 W 0.381 0.619 0.750
14 W 0.619 0.381 0.250
15 W 0.626 0.374 0.503
16 W 0.626 0.374 0.997

Properties
Raw total energy: -184.30 eV for the cell shown
Calculated density: 14.754 g cm⁻³



The following is a DFT calculation (PBE) of crystalline Ta3Mo2W4 at its relaxed geometry.

abc: 4.544 4.544 8.376
angles: 90.00 90.00 120.00
Fractional coordinates of all 9 atoms:
1 Ta 0.000 0.000 0.000
2 Ta 0.333 0.667 0.558
3 Ta 0.667 0.333 0.442
4 Mo 0.333 0.667 0.219
5 Mo 0.667 0.333 0.781
6 W 0.000 0.000 0.334
7 W 0.000 0.000 0.666
8 W 0.333 0.667 0.889
9 W 0.667 0.333 0.111

Properties
Raw total energy: -109.78 eV for the cell shown
Calculated density: 16.298 g cm⁻³



The following is a DFT calculation (PBE) of crystalline TaMo4W at its relaxed geometry.

abc: 6.944 6.944 4.522
angles: 90.00 90.00 153.47
Fractional coordinates of all 6 atoms:
1 Ta 0.000 0.000 0.000
2 Mo 0.167 0.833 0.500
3 Mo 0.331 0.669 0.000
4 Mo 0.669 0.331 0.000
5 Mo 0.833 0.167 0.500
6 W 0.500 0.500 0.500

Properties
Calculated density: 12.761 g cm⁻³
Excess energy over the best structure of this formula in the dataset: 0.000 eV/atom



The following is a DFT calculation (PBE) of crystalline Ta6MoW5 at its relaxed geometry.

abc: 7.928 7.928 4.582
angles: 106.77 106.77 119.88
Fractional coordinates of all 12 atoms:
1 Ta 0.083 0.416 0.749
2 Ta 0.249 0.249 0.249
3 Ta 0.416 0.083 0.749
4 Ta 0.584 0.917 0.251
5 Ta 0.751 0.751 0.751
6 Ta 0.917 0.584 0.251
7 Mo 0.000 0.000 0.500
8 W 0.167 0.833 0.000
9 W 0.334 0.666 0.500
10 W 0.500 0.500 0.000
11 W 0.666 0.334 0.500
12 W 0.833 0.167 0.000

Properties
Raw total energy: -148.20 eV for the cell shown
Calculated density: 17.091 g cm⁻³



The following is a DFT calculation (PBE) of crystalline TaMo4W at its relaxed geometry.

abc: 5.223 5.223 5.223
angles: 60.00 60.00 60.00
Fractional coordinates of all 6 atoms:
1 Ta 0.000 0.000 0.000
2 Mo 0.375 0.375 0.375
3 Mo 0.375 0.375 0.875
4 Mo 0.375 0.875 0.375
5 Mo 0.875 0.375 0.375
6 W 0.750 0.750 0.750

Properties
Calculated density: 12.340 g cm⁻³
Excess energy over the best structure of this formula in the dataset: 0.300 eV/atom



The following is a DFT calculation (PBE) of crystalline TaMoW3 at its relaxed geometry.

abc: 7.323 7.323 7.062
angles: 104.39 104.39 97.21
Fractional coordinates of all 20 atoms:
1 Ta 0.081 0.919 0.750
2 Ta 0.341 0.659 0.250
3 Ta 0.659 0.341 0.750
4 Ta 0.919 0.081 0.250
5 Mo 0.328 0.398 0.871
6 Mo 0.398 0.328 0.371
7 Mo 0.602 0.672 0.629
8 Mo 0.672 0.602 0.129
9 W 0.004 0.366 0.089
10 W 0.015 0.765 0.347
11 W 0.191 0.564 0.571
12 W 0.235 0.985 0.153
13 W 0.366 0.004 0.589
14 W 0.436 0.809 0.929
15 W 0.564 0.191 0.071
16 W 0.634 0.996 0.411
17 W 0.765 0.015 0.847
18 W 0.809 0.436 0.429
19 W 0.985 0.235 0.653
20 W 0.996 0.634 0.911

Properties
Calculated density: 15.803 g cm⁻³
Excess energy over the best structure of this formula in the dataset: 0.081 eV/atom



Number 1: DOS(E_F) 8.48 states/eV/f.u.. Number 2: DOS(E_F) 9.08 states/eV/f.u.. Number 3: DOS(E_F) 6.46 states/eV/f.u.. Number 4: DOS(E_F) 5.59 states/eV/f.u.. Number 5: DOS(E_F) 4.27 states/eV/f.u.. Number 6: DOS(E_F) 1.46 states/eV/f.u.. Number 7: DOS(E_F) 7.09 states/eV/f.u.. Number 8: DOS(E_F) 4.72 states/eV/f.u.. Number 9: DOS(E_F) 3.05 states/eV/f.u.. Number 10: DOS(E_F) 9.72 states/eV/f.u.. Number 11: DOS(E_F) 9.20 states/eV/f.u.. Number 12: DOS(E_F) 4.13 states/eV/f.u..